This record from Alexandria describes an optimized crystal structure of Ba2ScSe. The functional is PBE.

a = 6.860 Å, b = 6.860 Å, c = 6.157 Å
α = 112.43°, β = 112.43°, γ = 32.98°
Element x y z (fractional)
Ba1 0.000 0.000 0.000
Ba2 0.187 0.187 0.655
Sc1 0.796 0.796 0.263
Se1 0.443 0.443 0.497

Summary:
formation energy from raw total energies	-0.613	eV per atom
total moment	0.45	μB/f.u.